{
  "formula": "Pr7Sm3Ho",
  "functional": "PBE",
  "state": "optimized geometry",
  "cell": [[6.0008, -0.1933, -0.2476], [-2.6949, 8.1607, 1.1223], [-2.6949, -0.8896, 8.1894]],
  "species": ["Pr", "Pr", "Pr", "Pr", "Pr", "Pr", "Pr", "Sm", "Sm", "Sm", "Ho"],
  "frac_coords": [[0.2109, 0.2099, 0.2099], [0.3052, 0.0135, 0.5975], [0.6948, 0.4025, 0.9865], [0.3052, 0.5975, 0.0135], [0.0000, 0.5000, 0.5000], [0.6948, 0.9865, 0.4025], [0.7891, 0.7901, 0.7901], [0.0000, 0.7931, 0.2069], [0.5000, 0.0000, 0.0000], [0.0000, 0.2069, 0.7931], [0.5000, 0.5000, 0.5000]],
  "delta_e_f_ev_per_atom": 0.221,
  "final_energy_ev_per_cell": -49.76,
  "density_g_cm3": 6.70
}

{
  "formula": "Pr2Sm3Ho5",
  "functional": "PBE",
  "state": "optimized geometry",
  "cell": [[6.6624, -0.0751, -0.0525], [3.1766, 11.0140, 2.2442], [3.1754, 5.0698, 10.0434]],
  "species": ["Pr", "Pr", "Pr", "Pr", "Sm", "Sm", "Sm", "Sm", "Sm", "Sm", "Ho", "Ho", "Ho", "Ho", "Ho", "Ho", "Ho", "Ho", "Ho", "Ho"],
  "frac_coords": [[0.0955, 0.7420, 0.9706], [0.9045, 0.2580, 0.0294], [0.5937, 0.9701, 0.7437], [0.4063, 0.0299, 0.2563], [0.2502, 0.8913, 0.1084], [0.7498, 0.1087, 0.8916], [0.4000, 0.4015, 0.9136], [0.6000, 0.5985, 0.0864], [0.9013, 0.9141, 0.3999], [0.0987, 0.0859, 0.6001], [0.2496, 0.2493, 0.7511], [0.7504, 0.7507, 0.2489], [0.4602, 0.7790, 0.6565], [0.0403, 0.3412, 0.2230], [0.5398, 0.2210, 0.3435], [0.9597, 0.6588, 0.7770], [0.1776, 0.4823, 0.3725], [0.8224, 0.5177, 0.6275], [0.6774, 0.3720, 0.4831], [0.3226, 0.6280, 0.5169]],
  "delta_e_f_ev_per_atom": 0.067,
  "final_energy_ev_per_cell": -91.86,
  "density_g_cm3": 7.79
}

{
  "formula": "Pr3SmHo4",
  "functional": "PBE",
  "state": "optimized geometry",
  "cell": [[-4.5120, 2.1366, 3.8633], [-4.8455, -4.5167, -3.1612], [2.6764, -8.2537, 7.6904]],
  "species": ["Pr", "Pr", "Pr", "Pr", "Pr", "Pr", "Sm", "Sm", "Ho", "Ho", "Ho", "Ho", "Ho", "Ho", "Ho", "Ho"],
  "frac_coords": [[0.6458, 0.6284, 0.0000], [0.9832, 0.6280, 0.2497], [0.4832, 0.3720, 0.2503], [0.1458, 0.3716, 0.5000], [0.4832, 0.3720, 0.7497], [0.9832, 0.6280, 0.7503], [0.1458, 0.3699, 0.0000], [0.6458, 0.6301, 0.5000], [0.1473, 0.8795, 0.0000], [0.6482, 0.1206, 0.0000], [0.9809, 0.1203, 0.2492], [0.4809, 0.8797, 0.2508], [0.1482, 0.8794, 0.5000], [0.6473, 0.1205, 0.5000], [0.4809, 0.8797, 0.7492], [0.9809, 0.1203, 0.7508]],
  "delta_e_f_ev_per_atom": 0.029,
  "final_energy_ev_per_cell": -74.27,
  "density_g_cm3": 7.62
}

{
  "formula": "PrSm7Ho2",
  "functional": "PBE",
  "state": "optimized geometry",
  "cell": [[-2.1145, -4.2510, -4.0832], [6.1873, 0.6789, 8.8627], [-7.5253, -1.6796, 2.4342]],
  "species": ["Pr", "Sm", "Sm", "Sm", "Sm", "Sm", "Sm", "Sm", "Ho", "Ho"],
  "frac_coords": [[0.0000, 0.0000, 0.0000], [0.8992, 0.6995, 0.5988], [0.1008, 0.3005, 0.4012], [0.1972, 0.5990, 0.7979], [0.8028, 0.4010, 0.2021], [0.3004, 0.9003, 0.2018], [0.6996, 0.0997, 0.7982], [0.5000, 0.5000, 0.0000], [0.6018, 0.8007, 0.4014], [0.3982, 0.1993, 0.5986]],
  "delta_e_f_ev_per_atom": 0.016,
  "final_energy_ev_per_cell": -46.81,
  "density_g_cm3": 7.57
}